[1]
Crystalline LiTlIn2 at its relaxed geometry, computed with PBEsol.

Its energy relative to the elements is -0.43 eV/f.u. The density of states at the Fermi level is 0.38 states/eV per atom.

The space group is Cmmm (No. 65) and the conventional cell measures 6.143, 9.302 and 3.316 Å, with angles of 90.00, 90.00 and 90.00 degrees. The distinct sites, in fractional coordinates, are Li at (0.000, 0.000, 0.000), Tl at (0.000, 0.500, 0.000) and In at (0.250, 0.250, 0.500).


[2]
Crystalline LiTlIn2 at its relaxed geometry, computed with PBEsol.

Its energy relative to the elements is -0.38 eV/f.u. The density of states at the Fermi level is 0.37 states/eV per atom.

The space group is P2/m (No. 10) and the conventional cell measures 3.351, 5.328 and 5.400 Å, with angles of 90.00, 92.72 and 90.00 degrees. The distinct sites, in fractional coordinates, are Li at (0.000, 0.000, 0.000), Tl at (0.500, 0.000, 0.500) and In at (0.236, 0.500, 0.757).


[3]
Crystalline LiTlIn2 at its relaxed geometry, computed with PBEsol.

Its energy relative to the elements is -0.35 eV/f.u. The density of states at the Fermi level is 0.42 states/eV per atom.

The space group is R-3m (No. 166, hexagonal axes) and the conventional cell measures 3.3736, 3.3736 and 28.8104 Å, with angles of 90.00, 90.00 and 120.00 degrees. The distinct sites, in fractional coordinates, are Li at (0.0000, 0.0000, 0.0000), Tl at (0.0000, 0.0000, 0.5000) and In at (0.0000, 0.0000, 0.2567).


[4]
Crystalline LiTlIn2 at its relaxed geometry, computed with PBEsol.

Its energy relative to the elements is -0.56 eV/f.u. The density of states at the Fermi level is 0.33 states/eV per atom.

The space group is I4/mmm (No. 139) and the conventional cell measures 4.383, 4.383 and 9.694 Å, with angles of 90.00, 90.00 and 90.00 degrees. The distinct sites, in fractional coordinates, are Li at (0.000, 0.000, 0.000), Tl at (0.000, 0.000, 0.500) and In at (0.000, 0.500, 0.250).


[5]
Crystalline Li5TlIn at its relaxed geometry, computed with PBEsol.

Its energy relative to the elements is -1.95 eV/f.u. The density of states at the Fermi level is 0.36 states/eV per atom.

The space group is R3m (No. 160, hexagonal axes) and the conventional cell measures 4.6502, 4.6502 and 20.0875 Å, with angles of 90.00, 90.00 and 120.00 degrees. The distinct sites, in fractional coordinates, are Li at (0.0000, 0.0000, 0.0000), Li at (0.0000, 0.0000, 0.1405), Li at (0.0000, 0.0000, 0.2897), Li at (0.0000, 0.0000, 0.4349), Li at (0.0000, 0.0000, 0.5760), Tl at (0.0000, 0.0000, 0.8619) and In at (0.0000, 0.0000, 0.7154).


[6]
Crystalline LiTlIn2 at its relaxed geometry, computed with PBEsol.

Its energy relative to the elements is -0.48 eV/f.u. The density of states at the Fermi level is 0.44 states/eV per atom.

The space group is Pmm2 (No. 25) and the conventional cell measures 3.445, 4.266 and 6.361 Å, with angles of 90.00, 90.00 and 90.00 degrees. The distinct sites, in fractional coordinates, are Li at (0.000, 0.000, 0.000), Tl at (0.500, 0.500, 0.240), In at (0.000, 0.000, 0.511) and In at (0.500, 0.500, 0.756).